Computed, not measured: a geometry-optimized Tm3ThNi2 structure at the PBE level of DFT.

Values from the calculation:
calculated formation energy = -0.299 eV per atom

Geometry as CIF:
```
data_Tm3ThNi2
_symmetry_space_group_name_H-M 'C 1 2/m 1'
_symmetry_Int_Tables_number 12
_cell_length_a 16.0322
_cell_length_b 3.8515
_cell_length_c 11.2089
_cell_angle_alpha 90.00
_cell_angle_beta 123.10
_cell_angle_gamma 90.00
loop_
_symmetry_equiv_pos_as_xyz
'x,y,z'
'-x,-y,-z'
'-x,y,-z'
'x,-y,z'
'x+1/2,y+1/2,z'
'-x+1/2,-y+1/2,-z'
'-x+1/2,y+1/2,-z'
'x+1/2,-y+1/2,z'
loop_
_atom_site_label
_atom_site_type_symbol
_atom_site_fract_x
_atom_site_fract_y
_atom_site_fract_z
Tm1 Tm 0.0791 0.0000 0.4427
Tm2 Tm 0.0801 0.0000 0.9368
Tm3 Tm 0.1517 0.5000 0.7472
Th1 Th 0.1553 0.5000 0.2477
Ni1 Ni 0.2297 0.5000 0.5560
Ni2 Ni 0.2312 0.5000 0.0524
```